Entry 1:
K4Np3HgSe8 PBE optimized geometry; volume = 30.3 A^3/atom; ΔE_f (raw) = -1.099 eV per atom; space group = No. 166
1.0
-0.446 -3.173 7.950
-7.713 -4.281 -2.141
6.926 -1.484 -4.825
K Np Hg Se
4 3 1 8
Cartesian
-0.223 -1.586 3.975
3.240 -2.329 1.563
0.000 0.000 0.000
3.463 -0.742 -2.413
-4.079 -3.727 2.905
-0.616 -4.469 0.492
-0.393 -2.883 -3.483
-3.856 -2.140 -1.070
1.138 -5.202 -4.241
-2.202 -4.486 -1.914
1.276 -2.894 -1.083
0.923 -6.733 -0.407
-2.155 -2.205 1.391
-2.508 -6.044 2.068
0.970 -4.452 2.899
-2.370 -3.736 5.226

Entry 2:
Sm4Y2H PBE optimized geometry; total energy = -4.948 eV/atom; volume = 30.1 A^3/atom; space group = No. 139
1.0
4.921 0.000 0.000
0.000 4.921 0.000
2.461 2.461 8.710
Y H Sm
2 1 4
Cartesian
4.921 4.921 6.134
2.461 2.461 2.576
0.000 0.000 0.000
4.921 4.921 2.613
2.461 2.461 6.097
0.000 2.461 0.000
2.461 0.000 0.000

Entry 3:
BP2CCl PBE optimized geometry; volume = 19.9 A^3/atom; ΔE_f (raw) = 1.724 eV per atom; space group = No. 123
1.0
-0.572 2.203 2.989
-3.617 -1.012 0.054
1.575 -5.398 4.280
P C B Cl
2 1 1 1
Cartesian
-1.809 -0.506 0.027
-0.286 1.102 1.494
0.000 0.000 0.000
-1.307 -2.103 3.662
0.787 -2.699 2.140

Entry 4:
Pu3SeS3 PBE optimized geometry; volume = 24.2 A^3/atom; ΔE_f (raw) = -1.404 eV per atom; space group = No. 160
1.0
-3.309 1.176 4.539
4.747 -2.244 2.317
1.689 5.170 -1.832
Pu Se S
3 1 3
Cartesian
4.626 3.473 2.796
2.275 1.594 5.793
0.836 5.081 3.842
0.127 0.167 0.205
1.053 0.081 3.694
-0.292 3.345 1.867
3.254 1.839 0.889

Entry 5:
BaCo2Pb PBE optimized geometry; formation energy = 0.095 eV per atom; volume = 24.6 A^3/atom; space group = No. 160
1.0
4.181 -0.004 0.004
2.095 3.618 0.004
2.084 1.200 6.490
Ba Co Pb
1 2 1
Cartesian
2.090 1.204 1.286
2.085 1.201 5.460
6.269 3.610 5.419
4.179 2.407 4.073

Entry 6:
TePt2Se PBE optimized geometry; volume = 20.3 A^3/atom; ΔE_f (raw) = -0.039 eV per atom; space group = No. 65
1.0
-0.196 2.774 -2.568
1.975 -2.840 -3.218
-3.588 -2.217 -2.122
Pt Se Te
2 1 1
Cartesian
-0.008 -0.025 -0.026
-0.799 -2.504 -2.644
-0.501 0.123 -2.619
-1.308 -2.406 -5.289

Entry 7:
Zn3Si5 PBE optimized geometry; volume = 17.8 A^3/atom; ΔE_f (raw) = 0.277 eV per atom; space group = No. 8
1.0
8.735 0.160 0.000
-6.462 5.723 0.000
-1.137 -2.942 5.590
Zn Si
6 10
Cartesian
1.548 3.702 1.060
-0.726 -2.181 4.530
-0.294 -0.335 2.795
0.433 2.173 2.795
5.617 0.012 1.263
-3.119 -0.148 4.327
-3.692 3.398 2.795
4.173 1.373 2.795
-1.604 3.432 4.141
-4.806 4.705 1.110
2.453 1.238 1.141
-1.094 1.176 4.738
1.656 -1.018 4.481
-1.604 3.432 1.449
-1.094 1.176 0.852
2.453 1.238 4.449

Entry 8:
CaRu2Se PBE optimized geometry; volume = 17.3 A^3/atom; ΔE_f (raw) = 0.130 eV per atom; space group = No. 44
1.0
5.498 0.002 0.005
2.601 4.843 -0.005
-3.492 -3.355 2.603
Ru Ca Se
2 1 1
Cartesian
7.894 4.722 0.000
2.941 -0.518 1.304
1.638 1.991 1.299
4.283 2.562 0.000

Entry 9:
FeNiAu PBE optimized geometry; formation energy = 0.121 eV per atom; volume = 13.8 A^3/atom; space group = No. 156
1.0
4.207 0.000 0.000
-2.103 3.643 0.000
0.000 0.000 2.698
Au Fe Ni
1 1 1
Cartesian
0.000 0.000 0.001
2.103 1.214 1.259
0.000 2.429 1.438

Entry 10:
NaBe3N PBE optimized geometry; volume = 16.2 A^3/atom; ΔE_f (raw) = 2.872 eV per atom; space group = No. 221
1.0
-4.306 -0.298 0.275
-0.161 -1.432 -4.078
0.372 -4.071 1.414
Na Be N
1 3 1
Cartesian
0.000 0.000 0.000
-0.081 -0.716 -2.039
0.186 -2.035 0.707
-2.153 -0.149 0.137
-2.048 -2.900 -1.195

Entry 11:
Ca2Ga4Ag3 PBE optimized geometry; formation energy = -0.298 eV per atom; volume = 20.6 A^3/atom; space group = No. 64
1.0
-2.004 1.221 5.313
-2.984 -7.346 0.562
7.926 -3.178 0.545
Ca Ga Ag
4 8 6
Cartesian
-0.362 -4.919 0.994
3.299 -4.385 5.427
5.209 -2.759 2.599
-2.272 -6.545 3.822
3.224 -7.416 4.508
-1.289 -1.277 4.570
-0.287 -1.887 1.913
4.226 -8.026 1.851
-0.533 -8.146 1.671
3.470 -1.157 4.750
3.057 -5.251 2.360
-0.120 -4.053 4.061
0.000 0.000 0.000
-2.494 -3.063 2.938
0.918 -6.561 3.441
1.017 -2.132 5.636
2.019 -2.743 2.979
1.920 -7.171 0.784

Entry 12:
Cs3RbPu2O9 PBE optimized geometry; volume = 19.6 A^3/atom; ΔE_f (raw) = -2.140 eV per atom; space group = No. 164
1.0
6.450 0.000 0.000
-3.225 5.586 0.000
0.000 0.000 8.155
Cs Rb Pu O
3 1 2 9
Cartesian
0.000 3.724 5.349
0.000 0.000 0.000
3.225 1.862 2.806
0.000 0.000 4.078
0.000 3.724 1.141
3.225 1.862 7.014
4.577 1.081 5.876
3.225 3.423 5.876
1.873 1.081 5.876
1.352 4.504 2.279
0.000 2.162 2.279
-1.352 4.504 2.279
3.225 0.000 0.000
-1.612 2.793 0.000
1.612 2.793 0.000